A relaxed Ta2Sb2F crystal, computed with PBEsol.

```
Ta2Sb2F
1.0
-1.896 1.896 7.150
1.896 -1.896 7.150
1.896 1.896 -7.150
Ta Sb F
2 2 1
direct
0.250 0.750 0.500
0.750 0.250 0.500
0.099 0.099 0.000
0.901 0.901 0.000
0.500 0.500 0.000
```

- Raw formation energy: -0.03 eV per atom
- Space group: I4/mmm (139)

***

A relaxed NiPt2Rh crystal, computed with PBEsol.

```
NiPt2Rh
1.0
2.689 0.000 0.000
0.000 4.408 0.000
0.000 0.000 4.617
Ni Pt Rh
1 2 1
direct
0.000 0.000 0.000
0.500 0.000 0.493
0.500 0.500 0.841
0.000 0.500 0.334
```

- Energy relative to the elements: 0.02 eV/atom
- Space group: Pmm2 (25)

***

A relaxed Sm2Ga5Cu3 crystal, computed with PBEsol.

```
Sm2Ga5Cu3
1.0
4.124 0.000 0.000
0.000 4.124 0.000
0.000 0.000 10.123
Sm Ga Cu
2 5 3
direct
0.000 0.500 0.243
0.500 0.000 0.757
0.000 0.000 0.500
0.000 0.500 0.638
0.000 0.500 0.879
0.500 0.000 0.121
0.500 0.000 0.362
0.000 0.000 0.000
0.500 0.500 0.000
0.500 0.500 0.500
```

- Energy relative to the elements: -0.50 eV/atom
- Space group: P-4m2 (115)

***

A relaxed ScBeIn2 crystal, computed with PBEsol.

```
ScBeIn2
1.0
3.463 0.000 0.000
0.000 3.715 0.000
0.000 0.000 6.134
Sc Be In
1 1 2
direct
0.000 0.000 0.000
0.500 0.500 0.234
0.000 0.000 0.460
0.500 0.500 0.746
```

- Energy relative to the elements: 0.08 eV/atom
- Space group: Pmm2 (25)

***

A relaxed CdBRh3 crystal, computed with PBEsol.

```
CdBRh3
1.0
4.760 0.000 0.000
0.000 4.760 0.000
0.000 0.000 4.760
Cd B Rh
1 1 3
direct
0.000 0.000 0.000
0.500 0.500 0.500
0.000 0.000 0.500
0.000 0.500 0.000
0.500 0.000 0.000
```

- Energy relative to the elements: 2.72 eV/atom
- Distance to the lowest polymorph of the same formula: 2.940 eV/atom
- Space group: Pm-3m (221)

***

A relaxed ScCd3 crystal, computed with PBEsol.

```
ScCd3
1.0
6.262 0.000 0.000
-3.131 5.423 0.000
0.000 0.000 4.788
Sc Cd
2 6
direct
0.333 0.667 0.250
0.667 0.333 0.750
0.166 0.333 0.750
0.166 0.834 0.750
0.333 0.166 0.250
0.667 0.834 0.750
0.834 0.166 0.250
0.834 0.667 0.250
```

- Energy relative to the elements: -0.26 eV/atom
- Space group: P6_3/mmc (194)

***

A relaxed Tb3Al12Os4 crystal, computed with PBEsol.

```
Tb3Al12Os4
1.0
8.752 0.000 0.000
-4.376 7.579 0.000
0.000 0.000 9.524
Tb Al Os
6 24 8
direct
0.193 0.386 0.250
0.193 0.807 0.250
0.386 0.193 0.750
0.614 0.807 0.250
0.807 0.193 0.750
0.807 0.614 0.750
0.000 0.000 0.250
0.000 0.000 0.750
0.122 0.561 0.750
0.163 0.326 0.575
0.163 0.326 0.925
0.163 0.837 0.575
0.163 0.837 0.925
0.326 0.163 0.075
0.326 0.163 0.425
0.333 0.667 0.018
0.333 0.667 0.482
0.439 0.561 0.750
0.439 0.878 0.750
0.561 0.122 0.250
0.561 0.439 0.250
0.667 0.333 0.518
0.667 0.333 0.982
0.674 0.837 0.575
0.674 0.837 0.925
0.837 0.163 0.075
0.837 0.163 0.425
0.837 0.674 0.075
0.837 0.674 0.425
0.878 0.439 0.250
0.000 0.000 0.000
0.000 0.000 0.500
0.000 0.500 0.000
0.000 0.500 0.500
0.500 0.000 0.000
0.500 0.000 0.500
0.500 0.500 0.000
0.500 0.500 0.500
```

- Energy relative to the elements: -0.59 eV/atom
- Space group: P6_3/mmc (194)

***

A relaxed KRbP2 crystal, computed with PBEsol.

```
KRbP2
1.0
0.000 3.802 3.802
3.802 0.000 3.802
3.802 3.802 0.000
K Rb P
1 1 2
direct
0.000 0.000 0.000
0.500 0.500 0.500
0.250 0.250 0.250
0.750 0.750 0.750
```

- Energy relative to the elements: 0.48 eV/atom
- Space group: Fm-3m (225)